First-principles (PBE-GGA) data for an optimized crystal structure of YInFeAu, as listed in the Open Quantum Materials Database.

Results
final energy = -5.373 eV per atom
ΔE to the lowest computed polymorph = 0.0 meV/atom
calculated density = 10.0 g/cm³

Cell and atoms, written as POSCAR:
```
YInFeAu
1.0
0.000 3.362 3.362
3.362 0.000 3.362
3.362 3.362 0.000
Y In Fe Au
1 1 1 1
Direct
0.000 0.000 0.000
0.500 0.500 0.500
0.750 0.750 0.750
0.250 0.250 0.250
```